Density functional theory data (PBE-GGA) for a relaxed structure of TiBeB2O.

Unit cell a=4.3096 b=3.6959 c=4.3096 alpha=90.00 beta=90.00 gamma=90.00
Fractional positions:
Be  0.5000  0.5000  0.5000
B  0.0000  0.0000  0.5000
B  0.5000  0.0000  0.0000
O  0.0000  0.5000  0.0000
Ti  0.0000  0.0000  0.0000

Results
For the density, the calculation gives 2.3 Mg/m³. For the total energy, the calculation gives -25.7 eV per cell. The symmetry is No. 123. Its total magnetic moment is 0.0 μB per formula unit.